This record from Alexandria via LeMat-Bulk describes crystalline Rb2AgIrBr6 at its relaxed geometry. The functional is PBE.

Cell lengths 10.7439, 10.7439, 10.7439 Å; angles 90.00, 90.00, 90.00 degrees
Space group Fm-3m (No. 225)
Inequivalent atoms, fractional coordinates:
Rb 0.2500 0.2500 0.2500 (multiplicity 8)
Ag 0.0000 0.0000 0.0000 (multiplicity 4)
Ir 0.0000 0.0000 0.5000 (multiplicity 4)
Br 0.0000 0.0000 0.2641 (multiplicity 24)

ΔE_f (raw) = -0.827 eV/atom
total magnetic moment = 0.0 μB/f.u.
DOS(E_F) = 0.0 states/eV/f.u.
uncorrected energy = -0.235 Ry per atom
mass density = 5.090 g/cm3

=====

This record from Alexandria via LeMat-Bulk describes crystalline CoHRu at its relaxed geometry. The functional is PBE.

Cell lengths 8.0062, 2.6828, 5.2157 Å; angles 90.00, 90.93, 90.00 degrees
Space group C2/m (No. 12)
Inequivalent atoms, fractional coordinates:
Co 0.1461 0.0000 0.3760 (multiplicity 4)
H 0.0106 0.5000 0.2733 (multiplicity 4)
Ru 0.1420 0.0000 0.8664 (multiplicity 4)

offset from the most stable computed form = 0.39 eV per formula unit
total magnetic moment = 1.0 μB/f.u.
DOS(E_F) = 2.7 states/eV/f.u.
uncorrected energy = -0.466 Ry per atom
mass density = 9.548 g/cm3